No. 1
Ho2Np3TaN6 | Alexandria | PBE | relaxed; symmetry = C2/m (12)
1.0
2.919 -5.056 0.000
2.919 5.056 0.000
-1.946 0.000 5.531
Ho Np Ta N
2 3 1 6
direct
0.166 0.834 0.000 Ho
0.834 0.166 0.000 Ho
0.000 0.000 0.500 Np
0.331 0.669 0.500 Np
0.669 0.331 0.500 Np
0.500 0.500 0.000 Ta
0.108 0.420 0.760 N
0.269 0.269 0.246 N
0.420 0.108 0.760 N
0.580 0.892 0.240 N
0.731 0.731 0.754 N
0.892 0.580 0.240 N

No. 2
Tb3Ho2NpN6 | Alexandria | PBE | relaxed; symmetry = C2/m (12)
1.0
2.997 -5.193 0.000
2.997 5.193 0.000
-1.996 0.000 5.655
Tb Ho Np N
3 2 1 6
direct
0.000 0.000 0.000 Tb
0.332 0.668 0.000 Tb
0.668 0.332 0.000 Tb
0.167 0.833 0.500 Ho
0.833 0.167 0.500 Ho
0.500 0.500 0.500 Np
0.100 0.420 0.261 N
0.260 0.260 0.737 N
0.420 0.100 0.261 N
0.580 0.900 0.739 N
0.740 0.740 0.263 N
0.900 0.580 0.739 N

No. 3
HoTh2NpN4 | Alexandria | PBE | relaxed; symmetry = P2/m (10)
1.0
6.130 0.000 0.000
0.000 3.550 0.000
-2.034 0.000 5.832
Ho Th Np N
1 2 1 4
direct
0.000 0.000 0.000 Ho
0.000 0.500 0.500 Th
0.500 0.000 0.500 Th
0.500 0.500 0.000 Np
0.252 0.500 0.233 N
0.261 0.000 0.772 N
0.739 0.000 0.228 N
0.748 0.500 0.767 N

No. 4
Ho2ThNpN4 | Alexandria | PBE | relaxed; symmetry = P2/m (10)
1.0
6.073 0.000 0.000
0.000 3.509 0.000
-2.027 0.000 5.748
Ho Th Np N
2 1 1 4
direct
0.000 0.000 0.000 Ho
0.500 0.500 0.000 Ho
0.000 0.500 0.500 Th
0.500 0.000 0.500 Np
0.258 0.000 0.754 N
0.259 0.500 0.252 N
0.741 0.500 0.748 N
0.742 0.000 0.246 N

No. 5
HoTm2NpN4 | Alexandria | PBE | relaxed; symmetry = P2/m (10)
1.0
5.913 0.000 0.000
0.000 3.421 0.000
-1.925 0.000 5.593
Ho Tm Np N
1 2 1 4
direct
0.000 0.000 0.000 Ho
0.500 0.000 0.500 Tm
0.500 0.500 0.000 Tm
0.000 0.500 0.500 Np
0.245 0.500 0.260 N
0.249 0.000 0.747 N
0.751 0.000 0.253 N
0.755 0.500 0.740 N

No. 6
Ho2NpUN4 | Alexandria | PBE | relaxed; symmetry = P2/m (10)
1.0
5.941 0.000 0.000
0.000 3.434 0.000
-1.982 0.000 5.668
Ho Np U N
2 1 1 4
direct
0.000 0.000 0.000 Ho
0.500 0.500 0.000 Ho
0.000 0.500 0.500 Np
0.500 0.000 0.500 U
0.252 0.000 0.741 N
0.258 0.500 0.258 N
0.742 0.500 0.742 N
0.748 0.000 0.259 N

no.,uncorrected formation energy (meV per atom),E_tot (eV per cell)
1,-1316.3,-125.6
2,-1609.8,-105.3
3,-1459.3,-77.3
4,-1499.9,-74.8
5,-1611.4,-72.7
6,-1468.3,-78.4